A relaxed structure of Zr2NiPb2. Source: OQMD, functional PBE-GGA.

The structure in POSCAR format:
```
Zr2NiPb2
1.0
-1.987 1.987 7.575
1.987 -1.987 7.575
1.987 1.987 -7.575
Pb Zr Ni
2 2 1
direct
0.592 0.592 0.000
0.408 0.408 0.000
0.750 0.250 0.500
0.250 0.750 0.500
0.000 0.000 0.000
```

- Space group: I4/mmm (139)
- Electronic total energy: -5.376 eV per atom
- Total magnetic moment: 0.000 μB/atom


A relaxed structure of NaTl2Cd. Source: OQMD, functional PBE-GGA.

The structure in POSCAR format:
```
NaTl2Cd
1.0
-4.972 1.547 -1.175
0.106 -4.324 -6.141
-5.821 -12.237 8.514
Cd Na Tl
6 6 12
direct
0.000 0.500 0.667
0.500 0.000 0.833
0.000 0.500 0.000
0.500 0.000 0.167
0.500 0.000 0.500
0.000 0.500 0.333
0.500 0.500 0.833
0.500 0.500 0.167
0.000 0.000 0.667
0.000 0.000 0.333
0.000 0.000 0.000
0.500 0.500 0.500
0.500 0.250 0.000
0.500 0.750 0.334
0.000 0.750 0.834
0.000 0.750 0.166
0.500 0.250 0.334
0.000 0.750 0.500
0.000 0.250 0.500
0.000 0.250 0.166
0.000 0.250 0.834
0.500 0.750 0.000
0.500 0.750 0.666
0.500 0.250 0.666
```

- Space group: Immm (71)
- Electronic total energy: -1.810 eV per atom


A relaxed structure of GdTh. Source: OQMD, functional PBE-GGA.

The structure in POSCAR format:
```
GdTh
1.0
-2.234 -3.941 -0.924
-3.663 -1.231 2.538
-4.237 0.123 -1.845
Th Gd
1 1
direct
0.500 0.500 0.500
0.000 0.000 0.000
```

- Formation energy: 0.92 eV per atom
- Space group: Fm-3m (225)
- Electronic total energy: -5.117 eV per atom
- Total magnetic moment: 0.041 μB/atom


Among the records above, which one has the lowest electronic total energy? Zr2NiPb2